Entry 1:
Co2GeH2: single point on PBEsol structure, meta-GGA SCAN.

Computed properties:
DFT total energy in eV for the cell shown: -120.2

Cell lengths 2.844, 2.844, 9.507 Å; angles 90.00, 90.00, 90.00 degrees
Space group I4/mmm (No. 139)
Inequivalent atoms, fractional coordinates:
Co (0.000, 0.000, 0.143) x4
Ge (0.000, 0.000, 0.500) x2
H (0.000, 0.500, 0.250) x4

***

Entry 2:
TiCo2GeH: single point on PBEsol structure, meta-GGA SCAN.

Computed properties:
DFT total energy in eV for the cell shown: -67.4

Cell lengths 4.272, 4.272, 4.809 Å; angles 90.00, 90.00, 90.00 degrees
Space group P4/mmm (No. 123)
Inequivalent atoms, fractional coordinates:
Ti (0.000, 0.000, 0.000) x1
Co (0.000, 0.500, 0.500) x2
Ge (0.000, 0.000, 0.500) x1
H (0.500, 0.500, 0.000) x1

***

Entry 3:
HfScCoGe2: single point on PBEsol structure, meta-GGA SCAN.

Computed properties:
Energy relative to the elements in kJ per mole of atoms: 46
DFT total energy in eV for the cell shown: -130.0

Cell lengths 4.972, 4.972, 4.397 Å; angles 90.00, 90.00, 90.00 degrees
Space group P4/mmm (No. 123)
Inequivalent atoms, fractional coordinates:
Hf (0.000, 0.000, 0.000) x1
Sc (0.500, 0.500, 0.500) x1
Co (0.000, 0.000, 0.500) x1
Ge (0.000, 0.500, 0.000) x2

***

Entry 4:
HoCoGe2: single point on PBEsol structure, meta-GGA SCAN.

Computed properties:
Energy relative to the elements in kJ per mole of atoms: -64
DFT total energy in eV for the cell shown: -428.5

Cell lengths 4.054, 16.418, 4.071 Å; angles 90.00, 90.00, 90.00 degrees
Space group Cmcm (No. 63)
Inequivalent atoms, fractional coordinates:
Ho (0.000, 0.110, 0.250) x4
Co (0.000, 0.320, 0.250) x4
Ge (0.000, 0.250, 0.750) x4
Ge (0.000, 0.456, 0.250) x4

***

Entry 5:
HoCo2Ge2: single point on PBEsol structure, meta-GGA SCAN.

Computed properties:
Energy relative to the elements in kJ per mole of atoms: -60
DFT total energy in eV for the cell shown: -249.7

Cell lengths 3.888, 3.888, 9.964 Å; angles 90.00, 90.00, 90.00 degrees
Space group I4/mmm (No. 139)
Inequivalent atoms, fractional coordinates:
Ho (0.000, 0.000, 0.000) x2
Co (0.000, 0.500, 0.250) x4
Ge (0.000, 0.000, 0.373) x4

***

Entry 6:
CoGeI2: single point on PBEsol structure, meta-GGA SCAN.

Computed properties:
Energy relative to the elements, uncorrected in eV per formula unit: 3.4
DFT total energy in eV for the cell shown: -426.0

Cell lengths 7.085, 7.085, 7.085 Å; angles 90.00, 90.00, 90.00 degrees
Space group Fm-3m (No. 225)
Inequivalent atoms, fractional coordinates:
Co (0.000, 0.000, 0.000) x4
Ge (0.000, 0.000, 0.500) x4
I (0.250, 0.250, 0.250) x8

***

Entry 7:
CoGe3I: single point on PBEsol structure, meta-GGA SCAN.

Computed properties:
Energy relative to the elements, uncorrected in eV per formula unit: 8.9
DFT total energy in eV for the cell shown: -102.5

Cell lengths 5.310, 5.310, 5.310 Å; angles 90.00, 90.00, 90.00 degrees
Space group Pm-3m (No. 221)
Inequivalent atoms, fractional coordinates:
Co (0.000, 0.000, 0.000) x1
Ge (0.000, 0.500, 0.500) x3
I (0.500, 0.500, 0.500) x1

***

Entry 8:
CoGePb2I: single point on PBEsol structure, meta-GGA SCAN.

Computed properties:
Energy relative to the elements, uncorrected in eV per formula unit: 5.6
DFT total energy in eV for the cell shown: -219.1

Cell lengths 6.001, 6.001, 4.453 Å; angles 90.00, 90.00, 90.00 degrees
Space group P4/mmm (No. 123)
Inequivalent atoms, fractional coordinates:
Co (0.000, 0.000, 0.000) x1
Ge (0.500, 0.500, 0.000) x1
Pb (0.000, 0.500, 0.500) x2
I (0.000, 0.000, 0.500) x1

***

Entry 9:
Tl2CoGeI: single point on PBEsol structure, meta-GGA SCAN.

Computed properties:
Energy relative to the elements, uncorrected in eV per formula unit: 5.1
DFT total energy in eV for the cell shown: -212.8

Cell lengths 6.206, 6.206, 4.522 Å; angles 90.00, 90.00, 90.00 degrees
Space group P4/mmm (No. 123)
Inequivalent atoms, fractional coordinates:
Tl (0.000, 0.500, 0.000) x2
Co (0.000, 0.000, 0.500) x1
Ge (0.500, 0.500, 0.500) x1
I (0.000, 0.000, 0.000) x1

***

Entry 10:
CoGeIr3: single point on PBEsol structure, meta-GGA SCAN.

Computed properties:
Energy relative to the elements in kJ per mole of atoms: 136
DFT total energy in eV for the cell shown: -242.6

Cell lengths 4.460, 4.460, 4.460 Å; angles 90.00, 90.00, 90.00 degrees
Space group Pm-3m (No. 221)
Inequivalent atoms, fractional coordinates:
Co (0.000, 0.000, 0.000) x1
Ge (0.500, 0.500, 0.500) x1
Ir (0.000, 0.500, 0.500) x3

***

Entry 11:
K3CoGe: single point on PBEsol structure, meta-GGA SCAN.

Computed properties:
Energy relative to the elements in kJ per mole of atoms: 73
DFT total energy in eV for the cell shown: -57.6

Cell lengths 5.931, 5.931, 5.931 Å; angles 90.00, 90.00, 90.00 degrees
Space group Pm-3m (No. 221)
Inequivalent atoms, fractional coordinates:
K (0.000, 0.000, 0.500) x3
Co (0.000, 0.000, 0.000) x1
Ge (0.500, 0.500, 0.500) x1

***

Entry 12:
K2CoSiGe: single point on PBEsol structure, meta-GGA SCAN.

Computed properties:
Energy relative to the elements, uncorrected in eV per formula unit: 3.3
DFT total energy in eV for the cell shown: -59.8

Cell lengths 5.834, 5.834, 4.323 Å; angles 90.00, 90.00, 90.00 degrees
Space group P4/mmm (No. 123)
Inequivalent atoms, fractional coordinates:
K (0.000, 0.500, 0.000) x2
Co (0.000, 0.000, 0.000) x1
Si (0.000, 0.000, 0.500) x1
Ge (0.500, 0.500, 0.500) x1

***

Entry 13:
LaCo2Ge2: single point on PBEsol structure, meta-GGA SCAN.

Computed properties:
Energy relative to the elements in kJ per mole of atoms: -56
DFT total energy in eV for the cell shown: -237.6

Cell lengths 4.011, 4.011, 10.258 Å; angles 90.00, 90.00, 90.00 degrees
Space group I4/mmm (No. 139)
Inequivalent atoms, fractional coordinates:
La (0.000, 0.000, 0.000) x2
Co (0.000, 0.500, 0.250) x4
Ge (0.000, 0.000, 0.365) x4

***

Entry 14:
La3Co2Ge7: single point on PBEsol structure, meta-GGA SCAN.

Computed properties:
Energy relative to the elements in kJ per mole of atoms: -64
DFT total energy in eV for the cell shown: -611.1

Cell lengths 4.237, 25.513, 4.287 Å; angles 90.00, 90.00, 90.00 degrees
Space group Cmmm (No. 65)
Inequivalent atoms, fractional coordinates:
La (0.000, 0.000, 0.000) x2
La (0.000, 0.316, 0.500) x4
Co (0.000, 0.128, 0.000) x4
Ge (0.000, 0.089, 0.500) x4
Ge (0.000, 0.219, 0.000) x4
Ge (0.000, 0.410, 0.000) x4
Ge (0.000, 0.500, 0.500) x2

***

Entry 15:
LiCo6Ge6: single point on PBEsol structure, meta-GGA SCAN.

Computed properties:
Energy relative to the elements in kJ per mole of atoms: -20
DFT total energy in eV for the cell shown: -223.4

Cell lengths 4.9710, 4.9710, 7.5797 Å; angles 90.00, 90.00, 120.00 degrees
Space group P6/mmm (No. 191)
Inequivalent atoms, fractional coordinates:
Li (0.0000, 0.0000, 0.0000) x1
Co (0.0000, 0.5000, 0.2497) x6
Ge (0.0000, 0.0000, 0.3309) x2
Ge (0.3333, 0.6667, 0.0000) x2
Ge (0.3333, 0.6667, 0.5000) x2

***

Entry 16:
LiCo2Ge2: single point on PBEsol structure, meta-GGA SCAN.

Computed properties:
Energy relative to the elements in kJ per mole of atoms: -15
DFT total energy in eV for the cell shown: -151.9

Cell lengths 3.766, 3.766, 10.115 Å; angles 90.00, 90.00, 90.00 degrees
Space group I4/mmm (No. 139)
Inequivalent atoms, fractional coordinates:
Li (0.000, 0.000, 0.000) x2
Co (0.000, 0.500, 0.250) x4
Ge (0.000, 0.000, 0.377) x4

***

Entry 17:
Li2CoGe: single point on PBEsol structure, meta-GGA SCAN.

Computed properties:
Energy relative to the elements in kJ per mole of atoms: 13
DFT total energy in eV for the cell shown: -162.6

Cell lengths 6.829, 6.829, 4.607 Å; angles 90.00, 90.00, 90.00 degrees
Space group I-42d (No. 122)
Inequivalent atoms, fractional coordinates:
Li (0.235, 0.250, 0.125) x8
Co (0.000, 0.000, 0.000) x4
Ge (0.000, 0.000, 0.500) x4

***

Entry 18:
LiCoNiGe2: single point on PBEsol structure, meta-GGA SCAN.

Computed properties:
Energy relative to the elements in kJ per mole of atoms: 87
DFT total energy in eV for the cell shown: -69.5

Cell lengths 4.226, 4.226, 3.768 Å; angles 90.00, 90.00, 90.00 degrees
Space group P4/mmm (No. 123)
Inequivalent atoms, fractional coordinates:
Li (0.000, 0.000, 0.000) x1
Co (0.000, 0.000, 0.500) x1
Ni (0.500, 0.500, 0.500) x1
Ge (0.000, 0.500, 0.000) x2

***

Entry 19:
Li2CoGeO4: single point on PBEsol structure, meta-GGA SCAN.

Computed properties:
Energy relative to the elements, uncorrected in eV per formula unit: -15.3
DFT total energy in eV for the cell shown: -162.9

Cell lengths 5.012, 5.432, 8.060 Å; angles 90.00, 128.40, 90.00 degrees
Space group Pc (No. 7)
Inequivalent atoms, fractional coordinates:
Li (0.000, 0.165, 0.000) x2
Li (0.250, 0.331, 0.751) x2
Co (0.741, 0.334, 0.244) x2
Ge (0.493, 0.169, 0.500) x2
O (0.136, 0.176, 0.497) x2
O (0.377, 0.322, 0.270) x2
O (0.609, 0.139, 0.001) x2
O (0.838, 0.324, 0.731) x2

***

Entry 20:
Li2CoGeO4: single point on PBEsol structure, meta-GGA SCAN.

Computed properties:
Energy relative to the elements, uncorrected in eV per formula unit: -15.3
DFT total energy in eV for the cell shown: -162.8

Cell lengths 6.227, 5.475, 5.006 Å; angles 90.00, 90.00, 90.00 degrees
Space group Pmn2_1 (No. 31)
Inequivalent atoms, fractional coordinates:
Li (0.249, 0.166, 0.000) x4
Co (0.000, 0.333, 0.502) x2
Ge (0.000, 0.668, 0.006) x2
O (0.000, 0.362, 0.892) x2
O (0.000, 0.665, 0.360) x2
O (0.232, 0.825, 0.892) x4

***

Entry 21:
Li3Co2Ge2O8: single point on PBEsol structure, meta-GGA SCAN.

Computed properties:
Energy relative to the elements, uncorrected in eV per formula unit: -26.6
DFT total energy in eV for the cell shown: -156.4

Cell lengths 5.011, 5.521, 6.196 Å; angles 89.62, 89.89, 89.37 degrees
Space group P1 (No. 1)
Inequivalent atoms, fractional coordinates:
Li (0.000, 0.000, 0.000) x1
Li (0.004, 0.997, 0.500) x1
Li (0.492, 0.672, 0.000) x1
Co (0.502, 0.164, 0.251) x1
Co (0.991, 0.508, 0.745) x1
Ge (0.498, 0.177, 0.751) x1
Ge (0.987, 0.497, 0.249) x1
O (0.077, 0.655, 0.482) x1
O (0.100, 0.654, 0.013) x1
O (0.118, 0.194, 0.249) x1
O (0.142, 0.182, 0.751) x1
O (0.601, 0.009, 0.985) x1
O (0.618, 0.037, 0.515) x1
O (0.620, 0.473, 0.770) x1
O (0.637, 0.477, 0.231) x1

***

Entry 22:
LuCoGe: single point on PBEsol structure, meta-GGA SCAN.

Computed properties:
Energy relative to the elements in kJ per mole of atoms: -68
DFT total energy in eV for the cell shown: -375.4

Cell lengths 6.637, 4.117, 6.996 Å; angles 90.00, 90.00, 90.00 degrees
Space group Pnma (No. 62)
Inequivalent atoms, fractional coordinates:
Lu (0.009, 0.250, 0.198) x4
Co (0.155, 0.750, 0.435) x4
Ge (0.206, 0.250, 0.604) x4

***

Entry 23:
LuCo2Ge2: single point on PBEsol structure, meta-GGA SCAN.

Computed properties:
Energy relative to the elements in kJ per mole of atoms: -57
DFT total energy in eV for the cell shown: -262.2

Cell lengths 3.862, 3.862, 9.902 Å; angles 90.00, 90.00, 90.00 degrees
Space group I4/mmm (No. 139)
Inequivalent atoms, fractional coordinates:
Lu (0.000, 0.000, 0.000) x2
Co (0.000, 0.500, 0.250) x4
Ge (0.000, 0.000, 0.374) x4

***

Entry 24:
MgCoGe: single point on PBEsol structure, meta-GGA SCAN.

Computed properties:
Energy relative to the elements in kJ per mole of atoms: -26
DFT total energy in eV for the cell shown: -84.3

Cell lengths 3.846, 3.846, 6.116 Å; angles 90.00, 90.00, 90.00 degrees
Space group P4/nmm (No. 129, origin choice 2)
Inequivalent atoms, fractional coordinates:
Mg (0.250, 0.250, 0.178) x2
Co (0.250, 0.750, 0.500) x2
Ge (0.250, 0.250, 0.723) x2

***

Entry 25:
Mn3Co4Ge6: single point on PBEsol structure, meta-GGA SCAN.

Computed properties:
Energy relative to the elements in kJ per mole of atoms: -19
DFT total energy in eV for the cell shown: -482.1

Cell lengths 5.000, 8.572, 7.726 Å; angles 90.00, 90.00, 90.00 degrees
Space group Cmm2 (No. 35)
Inequivalent atoms, fractional coordinates:
Mn (0.000, 0.000, 0.000) x2
Mn (0.250, 0.250, 0.762) x4
Co (0.000, 0.500, 0.261) x2
Co (0.000, 0.500, 0.761) x2
Co (0.250, 0.250, 0.259) x4
Ge (0.000, 0.000, 0.335) x2
Ge (0.000, 0.000, 0.673) x2
Ge (0.000, 0.333, 0.504) x4
Ge (0.000, 0.335, 0.016) x4